This record from the Alexandria database describes Sm2ScAu3 after structural relaxation. The functional is PBE-GGA.

```
Sm2ScAu3
1.0
-2.8418 1.6498 1.3458
-0.8543 -2.9396 1.7995
6.0080 3.4391 8.4704
Sm Sc Au
2 1 3
Direct
0.5000 0.5000 0.8256
0.5000 0.5000 0.1744
0.5000 0.5000 0.5000
0.0000 0.0000 0.0000
0.0000 0.0000 0.6433
0.0000 0.0000 0.3567
```

space group	P4/mmm (123)
ΔH_f (0 K)	-4.721	eV/f.u.
calculated volume	22.99	Å³ per atom